AcHgMoO6 | Alexandria | PBE with a Hubbard U | relaxed; total magnetic moment = 2.2 μB per cell; mass density = 7202 kg/m³; calculated volume = 285.7 Å³/cell; uncorrected energy = -6.17 eV per atom
1.0
5.234 0.000 0.000
0.000 5.234 0.000
0.000 0.000 10.430
Ac Hg Mo O
2 2 2 12
direct
0.500 0.500 0.175
0.000 0.000 0.675
0.500 0.500 0.503
0.000 0.000 0.003
0.500 0.500 0.843
0.000 0.000 0.343
0.182 0.818 0.464
0.818 0.182 0.464
0.318 0.318 0.964
0.682 0.682 0.964
0.168 0.832 0.186
0.832 0.168 0.186
0.332 0.332 0.686
0.668 0.668 0.686
0.766 0.234 0.839
0.234 0.766 0.839
0.734 0.734 0.339
0.266 0.266 0.339